Computed, not measured: crystalline CrCo2O6 at its relaxed geometry at the PBE+U level of DFT.

The value obtained for the energy above the most stable polymorph in this dataset is 17 meV/atom. The final energy is -6.18 eV/atom. The magnetization is 0.00 μB per atom.

The structure belongs to space group Cmce (No. 64); the cell edges are 8.460, 5.036 and 10.188 Å and the angles 90.00°, 90.00° and 90.00°. Symmetry generates all atoms from Cr at (0.000, 0.000, 0.000), Co at (0.167, 0.000, 0.500), O at (0.000, 0.157, 0.406) and O at (0.168, 0.172, 0.094).